#w
{
  "formula": "InBP2O",
  "functional": "GGA-PBE",
  "state": "relaxed",
  "lattice_angstrom": [[5.4989, 0.0000, 0.0000], [0.0000, 5.4989, 0.0000], [0.0000, 0.0000, 2.6398]],
  "species": ["In", "B", "P", "P", "O"],
  "fractional_positions": [[0.0000, 0.0000, 0.0000], [0.5000, 0.5000, 0.5000], [0.0000, 0.5000, 0.5000], [0.5000, 0.0000, 0.5000], [0.5000, 0.5000, 0.0000]],
  "space_group": "P4/mmm, No. 123",
  "magnetic_moment_mub_per_cell": 0.000
}

#x
{
  "formula": "InBP2O",
  "functional": "GGA-PBE",
  "state": "relaxed",
  "lattice_angstrom": [[5.1488, 0.0000, 0.0000], [0.0000, 5.1488, 0.0000], [0.0000, 0.0000, 3.9488]],
  "species": ["In", "B", "P", "P", "O"],
  "fractional_positions": [[0.0000, 0.0000, 0.0000], [0.5000, 0.5000, 0.5000], [0.0000, 0.5000, 0.0000], [0.5000, 0.0000, 0.0000], [0.0000, 0.0000, 0.5000]],
  "space_group": "P4/mmm, No. 123",
  "magnetic_moment_mub_per_cell": 0.645
}

#w (141.1 kJ/mol of atoms below the next structure)

#w
{
  "formula": "TaInB2O",
  "functional": "GGA-PBE",
  "state": "relaxed",
  "lattice_angstrom": [[3.9999, 0.0000, 0.0000], [0.0000, 3.9999, 0.0000], [0.0000, 0.0000, 5.5931]],
  "species": ["Ta", "In", "B", "B", "O"],
  "fractional_positions": [[0.0000, 0.0000, 0.0000], [0.0000, 0.0000, 0.5000], [0.0000, 0.5000, 0.5000], [0.5000, 0.0000, 0.5000], [0.5000, 0.5000, 0.0000]],
  "space_group": "P4/mmm, No. 123",
  "magnetic_moment_mub_per_cell": 0.000
}

#x
{
  "formula": "TaInB2O",
  "functional": "GGA-PBE",
  "state": "relaxed",
  "lattice_angstrom": [[4.5320, 0.0000, 0.0000], [0.0000, 4.5320, 0.0000], [0.0000, 0.0000, 3.9088]],
  "species": ["Ta", "In", "B", "B", "O"],
  "fractional_positions": [[0.0000, 0.0000, 0.0000], [0.5000, 0.5000, 0.5000], [0.0000, 0.5000, 0.0000], [0.5000, 0.0000, 0.0000], [0.0000, 0.0000, 0.5000]],
  "space_group": "P4/mmm, No. 123",
  "magnetic_moment_mub_per_cell": 0.000
}

#x (198.2 kJ/mol of atoms below the next structure)

#w
{
  "formula": "InBOs2",
  "functional": "GGA-PBE",
  "state": "relaxed",
  "lattice_angstrom": [[-2.3137, 2.3137, 6.9476], [2.3137, -2.3137, 6.9476], [2.3137, 2.3137, -6.9476]],
  "species": ["In", "In", "B", "B", "Os", "Os", "Os", "Os"],
  "fractional_positions": [[0.0000, 0.0000, 0.0000], [0.7500, 0.2500, 0.5000], [0.2500, 0.7500, 0.5000], [0.5000, 0.5000, 0.0000], [0.2888, 0.6250, 0.1638], [0.3750, 0.5388, 0.6638], [0.4612, 0.1250, 0.8362], [0.8750, 0.7112, 0.3362]],
  "space_group": "I-42d, No. 122",
  "magnetic_moment_mub_per_cell": 0.000
}

#x
{
  "formula": "InBOs2",
  "functional": "GGA-PBE",
  "state": "relaxed",
  "lattice_angstrom": [[0.0000, 3.0372, 3.0372], [3.0372, 0.0000, 3.0372], [3.0372, 3.0372, 0.0000]],
  "species": ["In", "B", "Os", "Os"],
  "fractional_positions": [[0.0000, 0.0000, 0.0000], [0.5000, 0.5000, 0.5000], [0.2500, 0.2500, 0.2500], [0.7500, 0.7500, 0.7500]],
  "space_group": "Fm-3m, No. 225",
  "magnetic_moment_mub_per_cell": 0.000
}

#w (20.7 kJ/mol of atoms below the next structure)

#w
{
  "formula": "In3BOs",
  "functional": "GGA-PBE",
  "state": "relaxed",
  "lattice_angstrom": [[5.1687, 0.0000, 0.0000], [0.0000, 5.1687, 0.0000], [0.0000, 0.0000, 5.1687]],
  "species": ["In", "In", "In", "B", "Os"],
  "fractional_positions": [[0.0000, 0.0000, 0.5000], [0.0000, 0.5000, 0.0000], [0.5000, 0.0000, 0.0000], [0.5000, 0.5000, 0.5000], [0.0000, 0.0000, 0.0000]],
  "space_group": "Pm-3m, No. 221",
  "magnetic_moment_mub_per_cell": 0.334
}

#x
{
  "formula": "In3BOs",
  "functional": "GGA-PBE",
  "state": "relaxed",
  "lattice_angstrom": [[4.5778, 0.0000, 0.0000], [0.0000, 4.5778, 0.0000], [0.0000, 0.0000, 4.5778]],
  "species": ["In", "In", "In", "B", "Os"],
  "fractional_positions": [[0.0000, 0.0000, 0.5000], [0.0000, 0.5000, 0.0000], [0.5000, 0.0000, 0.0000], [0.0000, 0.0000, 0.0000], [0.5000, 0.5000, 0.5000]],
  "space_group": "Pm-3m, No. 221",
  "magnetic_moment_mub_per_cell": 0.000
}

#w (0.9 kJ/mol of atoms below the next structure)

#w
{
  "formula": "InB3P",
  "functional": "GGA-PBE",
  "state": "relaxed",
  "lattice_angstrom": [[4.4520, 0.0000, 0.0000], [0.0000, 4.4520, 0.0000], [0.0000, 0.0000, 4.4520]],
  "species": ["In", "B", "B", "B", "P"],
  "fractional_positions": [[0.0000, 0.0000, 0.0000], [0.0000, 0.0000, 0.5000], [0.0000, 0.5000, 0.0000], [0.5000, 0.0000, 0.0000], [0.5000, 0.5000, 0.5000]],
  "space_group": "Pm-3m, No. 221",
  "magnetic_moment_mub_per_cell": 0.000
}

#x
{
  "formula": "InB3P",
  "functional": "GGA-PBE",
  "state": "relaxed",
  "lattice_angstrom": [[3.9916, 0.0000, 0.0000], [0.0000, 3.9916, 0.0000], [0.0000, 0.0000, 3.9916]],
  "species": ["In", "B", "B", "B", "P"],
  "fractional_positions": [[0.0000, 0.0000, 0.0000], [0.0000, 0.5000, 0.5000], [0.5000, 0.0000, 0.5000], [0.5000, 0.5000, 0.0000], [0.5000, 0.5000, 0.5000]],
  "space_group": "Pm-3m, No. 221",
  "magnetic_moment_mub_per_cell": 0.000
}

#x (110.1 kJ/mol of atoms below the next structure)

#w
{
  "formula": "InBP2",
  "functional": "GGA-PBE",
  "state": "relaxed",
  "lattice_angstrom": [[0.0000, 3.1824, 3.1824], [3.1824, 0.0000, 3.1824], [3.1824, 3.1824, 0.0000]],
  "species": ["In", "B", "P", "P"],
  "fractional_positions": [[0.0000, 0.0000, 0.0000], [0.5000, 0.5000, 0.5000], [0.2500, 0.2500, 0.2500], [0.7500, 0.7500, 0.7500]],
  "space_group": "Fm-3m, No. 225",
  "magnetic_moment_mub_per_cell": 0.000
}

#x
{
  "formula": "InBP2",
  "functional": "GGA-PBE",
  "state": "relaxed",
  "lattice_angstrom": [[-2.6835, 2.6835, 4.9025], [2.6835, -2.6835, 4.9025], [2.6835, 2.6835, -4.9025]],
  "species": ["In", "In", "B", "B", "P", "P", "P", "P"],
  "fractional_positions": [[0.0000, 0.0000, 0.0000], [0.7500, 0.2500, 0.5000], [0.2500, 0.7500, 0.5000], [0.5000, 0.5000, 0.0000], [0.2090, 0.6250, 0.0840], [0.3750, 0.4590, 0.5840], [0.5410, 0.1250, 0.9160], [0.8750, 0.7910, 0.4160]],
  "space_group": "I-42d, No. 122",
  "magnetic_moment_mub_per_cell": 0.000
}

#x (129.7 kJ/mol of atoms below the next structure)

#w
{
  "formula": "InBP3",
  "functional": "GGA-PBE",
  "state": "relaxed",
  "lattice_angstrom": [[4.2716, 0.0000, 0.0000], [0.0000, 4.2716, 0.0000], [0.0000, 0.0000, 4.2716]],
  "species": ["In", "B", "P", "P", "P"],
  "fractional_positions": [[0.0000, 0.0000, 0.0000], [0.5000, 0.5000, 0.5000], [0.0000, 0.5000, 0.5000], [0.5000, 0.0000, 0.5000], [0.5000, 0.5000, 0.0000]],
  "space_group": "Pm-3m, No. 221",
  "magnetic_moment_mub_per_cell": 0.000
}

#x
{
  "formula": "InBP3",
  "functional": "GGA-PBE",
  "state": "relaxed",
  "lattice_angstrom": [[5.0464, 0.0000, 0.0000], [0.0000, 5.0464, 0.0000], [0.0000, 0.0000, 5.0464]],
  "species": ["In", "B", "P", "P", "P"],
  "fractional_positions": [[0.0000, 0.0000, 0.0000], [0.5000, 0.5000, 0.5000], [0.0000, 0.0000, 0.5000], [0.0000, 0.5000, 0.0000], [0.5000, 0.0000, 0.0000]],
  "space_group": "Pm-3m, No. 221",
  "magnetic_moment_mub_per_cell": 0.000
}

#w (129.2 kJ/mol of atoms below the next structure)